(1)
Density functional theory data (GGA-PBE) for a relaxed Re7W5 crystal.

a = 5.1443 Å, b = 5.1443 Å, c = 16.7273 Å
α = 90.00°, β = 90.00°, γ = 120.00°
Last column: nearest neighbours and their distance in Å.
Positions (direct):
Re 0.5000 0.0000 0.0000  6 Re 2.56-2.57
Re 0.0000 0.5000 0.0000  6 Re 2.56-2.57
Re 0.5000 0.5000 0.0000  6 Re 2.56-2.57
Re 0.3333 0.6667 0.1245  3 Re 2.56, 3 W 2.59
Re 0.6667 0.3333 0.1546  7 Re 2.98-3.19, 9 W 3.03-3.15
Re 0.6667 0.3333 0.3454  7 Re 2.98-3.19, 9 W 3.03-3.15
Re 0.3333 0.6667 0.3755  3 Re 2.56, 3 W 2.59
Re 0.5000 0.0000 0.5000  6 Re 2.56-2.57
Re 0.0000 0.5000 0.5000  6 Re 2.56-2.57
Re 0.5000 0.5000 0.5000  6 Re 2.56-2.57
Re 0.6667 0.3333 0.6245  3 Re 2.56, 3 W 2.59
Re 0.3333 0.6667 0.6546  7 Re 2.98-3.19, 9 W 3.03-3.15
Re 0.3333 0.6667 0.8454  7 Re 2.98-3.19, 9 W 3.03-3.15
Re 0.6667 0.3333 0.8755  3 Re 2.56, 3 W 2.59
W 0.0000 0.0000 0.0918  12 Re 3.00-3.15, 4 W 3.02-3.07
W 0.1625 0.3251 0.2500  4 W 2.51-2.64, 2 Re 2.59
W 0.1625 0.8375 0.2500  4 W 2.51-2.64, 2 Re 2.59
W 0.6749 0.8375 0.2500  4 W 2.51-2.64, 2 Re 2.59
W 0.0000 0.0000 0.4082  12 Re 3.00-3.15, 4 W 3.02-3.07
W 0.0000 0.0000 0.5918  12 Re 3.00-3.15, 4 W 3.02-3.07
W 0.3251 0.1625 0.7500  4 W 2.51-2.64, 2 Re 2.59
W 0.8375 0.1625 0.7500  4 W 2.51-2.64, 2 Re 2.59
W 0.8375 0.6749 0.7500  4 W 2.51-2.64, 2 Re 2.59
W 0.0000 0.0000 0.9082  12 Re 3.00-3.15, 4 W 3.02-3.07

Values from the calculation:
Energy relative to the lowest polymorph listed for this composition, eV/atom: 0.0340
Space group: No. 194


(2)
Density functional theory data (GGA-PBE) for a relaxed TbY2In3Pt2Au crystal.

a = 3.8124 Å, b = 7.8003 Å, c = 7.8003 Å
α = 119.97°, β = 90.00°, γ = 90.00°
Last column: nearest neighbours and their distance in Å.
Positions (direct):
Au 0.0000 0.0002 0.0002  6 In 2.83-2.84
In 0.5000 0.9997 0.2690  2 Au 2.84, 2 Pt 2.88-2.89, 2 Y 3.16
In 0.5000 0.7314 0.7314  2 Au 2.83, 2 Pt 2.88, 2 Tb 3.16
In 0.5000 0.2690 0.9997  2 Au 2.84, 2 Pt 2.88-2.89, 2 Y 3.16
Pt 0.5000 0.6660 0.3333  3 In 2.88-2.89, 2 Tb 3.03, 4 Y 3.04
Pt 0.5000 0.3333 0.6660  3 In 2.88-2.89, 2 Tb 3.03, 4 Y 3.04
Tb 0.0000 0.4078 0.4078  4 Pt 3.03, 6 In 3.16-3.39, 1 Au 3.18
Y 0.0000 0.5927 0.0000  4 Pt 3.04, 6 In 3.16-3.39, 1 Au 3.18
Y 0.0000 0.0000 0.5927  4 Pt 3.04, 6 In 3.16-3.39, 1 Au 3.18

Values from the calculation:
Total energy, eV per atom: -5.489
Space group: No. 38


(3)
Density functional theory data (GGA-PBE) for a relaxed CsLu2CuTeSe3 crystal.

a = 7.6040 Å, b = 7.6040 Å, c = 14.7354 Å
α = 90.00°, β = 90.00°, γ = 148.08°
Last column: nearest neighbours and their distance in Å.
Positions (direct):
Cs 0.3774 0.6226 0.2500  2 Te 3.53, 4 Se 3.53, 2 Cu 3.65
Cs 0.6226 0.3774 0.7500  2 Te 3.53, 4 Se 3.53, 2 Cu 3.65
Cu 0.6729 0.3271 0.2500  2 Se 2.49, 2 Te 2.56
Cu 0.3271 0.6729 0.7500  2 Se 2.49, 2 Te 2.56
Lu 0.1332 0.8668 0.0558  5 Se 2.81-2.97, 1 Te 3.00
Lu 0.1332 0.8668 0.4442  5 Se 2.81-2.97, 1 Te 3.00
Lu 0.8668 0.1332 0.5558  5 Se 2.81-2.97, 1 Te 3.00
Lu 0.8668 0.1332 0.9442  5 Se 2.81-2.97, 1 Te 3.00
Se 0.5000 0.5000 0.0000  4 Lu 2.97
Se 0.7535 0.2465 0.1011  1 Cu 2.49
Se 0.7535 0.2465 0.3989  1 Cu 2.49
Se 0.5000 0.5000 0.5000  4 Lu 2.97
Se 0.2465 0.7535 0.6011  1 Cu 2.49
Se 0.2465 0.7535 0.8989  1 Cu 2.49
Te 0.0716 0.9284 0.2500  2 Cu 2.56
Te 0.9284 0.0716 0.7500  2 Cu 2.56

Values from the calculation:
Energy relative to the lowest polymorph listed for this composition, eV/atom: 0.0422
Space group: No. 63


(4)
Density functional theory data (GGA-PBE) for a relaxed NbTl2 crystal.

a = 8.9044 Å, b = 8.9044 Å, c = 8.9044 Å
α = 60.07°, β = 60.07°, γ = 60.07°
Last column: nearest neighbours and their distance in Å.
Positions (direct):
Nb 0.2500 0.2500 0.2500  4 Tl 2.72-2.73
Nb 0.5000 0.5000 0.5000  4 Tl 2.72-2.73
Tl 0.8750 0.3750 0.3750  2 Nb 2.73
Tl 0.3750 0.8750 0.3750  2 Nb 2.73
Tl 0.3750 0.3750 0.3750  2 Nb 2.72
Tl 0.3750 0.3750 0.8750  2 Nb 2.73

Values from the calculation:
Energy relative to the lowest polymorph listed for this composition, eV/atom: 0.5894
Space group: No. 166